# BeSi2Ir PBEsol optimized geometry
data_BeSi2Ir
_chemical_formula_sum 'Be2 Si4 Ir2'
_symmetry_space_group_name_H-M 'C 1 m 1'
_symmetry_Int_Tables_number 8
_cell_length_a 8.1333
_cell_length_b 2.8523
_cell_length_c 4.2462
_cell_angle_alpha 90.00
_cell_angle_beta 94.75
_cell_angle_gamma 90.00
loop_
_symmetry_equiv_pos_as_xyz
'x,y,z'
'x,-y,z'
'x+1/2,y+1/2,z'
'x+1/2,-y+1/2,z'
loop_
_atom_site_label
_atom_site_fract_x
_atom_site_fract_y
_atom_site_fract_z
Be1 0.0000 0.0000 0.0000
Si1 0.2351 0.0000 0.7556
Si2 0.4790 0.0000 0.4838
Ir1 0.2412 0.5000 0.2368
# * total moment: 0.000 μB/cell
# * E_form (uncorrected): -0.2470 eV/atom
# * calculated volume: 12.27 Å³/atom
# * ρ: 8.7 g/cm3

# PrGa4Os PBEsol optimized geometry
data_PrGa4Os
_chemical_formula_sum 'Pr6 Ga24 Os6'
_symmetry_space_group_name_H-M 'P m m a'
_symmetry_Int_Tables_number 51
_cell_length_a 9.6142
_cell_length_b 8.7193
_cell_length_c 7.6170
_cell_angle_alpha 90.00
_cell_angle_beta 90.00
_cell_angle_gamma 90.00
loop_
_symmetry_equiv_pos_as_xyz
'x,y,z'
'-x,-y,-z'
'-x+1/2,-y,z'
'x+1/2,y,-z'
'x+1/2,-y,-z'
'-x+1/2,y,z'
'-x,y,-z'
'x,-y,z'
loop_
_atom_site_label
_atom_site_fract_x
_atom_site_fract_y
_atom_site_fract_z
Pr1 0.2500 0.0000 0.1802
Pr2 0.2500 0.2505 0.6600
Ga1 0.0000 0.0000 0.5000
Ga2 0.0615 0.5000 0.8384
Ga3 0.0748 0.2629 0.3212
Ga4 0.0855 0.0000 0.8431
Ga5 0.2500 0.3431 0.0473
Ga6 0.2500 0.5000 0.3691
Os1 0.0000 0.2414 0.0000
Os2 0.0000 0.5000 0.5000
# * total moment: 0.000 μB/cell
# * calculated formation energy: -0.505 eV per atom
# * calculated volume: 17.74 Å³/atom
# * ρ: 9.5 g/cm3

# Li4Fe3Co3Te2O16 PBEsol optimized geometry
data_Li4Fe3Co3Te2O16
_chemical_formula_sum 'Li8 Fe6 Co6 Te4 O32'
_symmetry_space_group_name_H-M 'C 1 m 1'
_symmetry_Int_Tables_number 8
_cell_length_a 9.8949
_cell_length_b 5.7250
_cell_length_c 9.6481
_cell_angle_alpha 90.00
_cell_angle_beta 90.15
_cell_angle_gamma 90.00
loop_
_symmetry_equiv_pos_as_xyz
'x,y,z'
'x,-y,z'
'x+1/2,y+1/2,z'
'x+1/2,-y+1/2,z'
loop_
_atom_site_label
_atom_site_fract_x
_atom_site_fract_y
_atom_site_fract_z
Li1 0.0000 0.0000 0.0000
Li2 0.0027 0.0000 0.4886
Li3 0.1693 0.5000 0.5873
Li4 0.3346 0.0000 0.0653
Fe1 0.0916 0.2685 0.2658
Fe2 0.1723 0.0000 0.7660
Co1 0.3238 0.5000 0.2668
Co2 0.4175 0.2462 0.7670
Te1 0.1686 0.5000 0.9863
Te2 0.3374 0.0000 0.4950
O1 0.0012 0.0000 0.1911
O2 0.0029 0.0000 0.6765
O3 0.0161 0.5000 0.1246
O4 0.0787 0.2308 0.8793
O5 0.1690 0.0000 0.3862
O6 0.1685 0.5000 0.3812
O7 0.2436 0.2721 0.1262
O8 0.2587 0.2252 0.6569
O9 0.3346 0.0000 0.8638
O10 0.3466 0.5000 0.8778
O11 0.4207 0.2518 0.3882
O12 0.4872 0.0000 0.6567
# * total moment: 19.003 μB/cell
# * E_form (uncorrected): -1.3372 eV/atom
# * calculated volume: 9.76 Å³/atom
# * ρ: 5.4 g/cm3

# MnV2O6 PBEsol optimized geometry
data_MnV2O6
_chemical_formula_sum 'Mn2 V4 O12'
_symmetry_space_group_name_H-M 'C 1 2/m 1'
_symmetry_Int_Tables_number 12
_cell_length_a 9.2631
_cell_length_b 3.4959
_cell_length_c 6.5529
_cell_angle_alpha 90.00
_cell_angle_beta 113.89
_cell_angle_gamma 90.00
loop_
_symmetry_equiv_pos_as_xyz
'x,y,z'
'-x,-y,-z'
'-x,y,-z'
'x,-y,z'
'x+1/2,y+1/2,z'
'-x+1/2,-y+1/2,-z'
'-x+1/2,y+1/2,-z'
'x+1/2,-y+1/2,z'
loop_
_atom_site_label
_atom_site_fract_x
_atom_site_fract_y
_atom_site_fract_z
Mn1 0.0000 0.0000 0.0000
V1 0.1860 0.0000 0.6454
O1 0.0282 0.0000 0.7160
O2 0.1516 0.5000 0.1091
O3 0.1918 0.5000 0.5635
# * total moment: 9.951 μB/cell
# * E_form (uncorrected): -2.1458 eV/atom
# * calculated volume: 10.78 Å³/atom
# * ρ: 4.3 g/cm3